Here is crystalline TbAs3Pd3 at its relaxed geometry from the Alexandria database. Energies are from PBE-GGA.

Properties
As for the theoretical density: 7.4 g/cm3. The formation energy comes out at -1.7 eV/f.u. The total energy is -5.12 eV/atom.

abc: 6.820 6.820 6.820
angles: 90.00 90.00 90.00
Element x y z (fractional)
Tb1 0.000 0.000 0.000
Tb2 0.500 0.500 0.500
As1 0.000 0.250 0.500
As2 0.000 0.750 0.500
As3 0.250 0.500 0.000
As4 0.500 0.000 0.250
As5 0.500 0.000 0.750
As6 0.750 0.500 0.000
Pd1 0.000 0.500 0.250
Pd2 0.000 0.500 0.750
Pd3 0.250 0.000 0.500
Pd4 0.500 0.250 0.000
Pd5 0.500 0.750 0.000
Pd6 0.750 0.000 0.500